! KSi (GGA-PBE, optimized geometry); values from VASP
&SYSTEM
  ibrav = 0, nat = 12, ntyp = 2
/
ATOMIC_SPECIES
K 39.10 K.upf
Si 28.09 Si.upf
CELL_PARAMETERS angstrom
-2.160 -0.013 3.156
-6.896 -5.724 -4.745
5.185 -9.157 3.510
ATOMIC_POSITIONS crystal
K 0.000 0.690 0.180
Si 0.500 0.963 0.695
Si 0.500 0.963 0.305
K 0.000 0.690 0.820
K 0.500 0.310 0.320
K 0.000 0.785 0.500
Si 0.500 0.066 0.500
Si 0.000 0.037 0.805
K 0.500 0.310 0.680
Si 0.000 0.037 0.195
Si 0.000 0.934 0.000
K 0.500 0.215 0.000
! Offset from the most stable computed form ... 0.48 eV per formula unit
! E_form (uncorrected) ... 165 meV/atom
! ρ ... 1.56 g cm⁻³
! Volume ... 430.25 Å³ per cell
! Raw total energy ... -37.14 eV per cell
! SG ... Pmmn (59)
! Magnetic moment ... 0.00 μB/cell

=====

! K4Hg4Pd (GGA-PBE, optimized geometry); values from VASP
&SYSTEM
  ibrav = 0, nat = 18, ntyp = 3
/
ATOMIC_SPECIES
Hg 200.59 Hg.upf
K 39.10 K.upf
Pd 106.42 Pd.upf
CELL_PARAMETERS angstrom
6.764 0.000 0.000
0.000 9.949 0.000
0.000 0.000 9.949
ATOMIC_POSITIONS crystal
Hg 0.823 0.320 0.500
K 0.821 0.001 0.298
K 0.679 0.501 0.798
K 0.179 0.298 0.999
Hg 0.823 0.680 0.500
Hg 0.323 0.000 0.180
Pd 0.500 0.500 0.500
K 0.321 0.202 0.501
Hg 0.177 0.500 0.680
K 0.821 0.999 0.702
Hg 0.677 0.180 0.000
Pd 0.000 0.000 0.000
Hg 0.677 0.820 0.000
Hg 0.177 0.500 0.320
K 0.179 0.702 0.001
K 0.679 0.499 0.202
Hg 0.323 0.000 0.820
K 0.321 0.798 0.499
! Formation energy ... -0.200 eV/atom
! ρ ... 5.28 g cm⁻³
! Volume ... 669.52 Å³ per cell
! Raw total energy ... -25.18 eV per cell
! SG ... P4_2/n (86)
! Magnetic moment ... 0.00 μB/cell

=====

! FeAsRh2 (GGA-PBE, optimized geometry); values from VASP
&SYSTEM
  ibrav = 0, nat = 4, ntyp = 3
/
ATOMIC_SPECIES
As 74.92 As.upf
Fe 55.84 Fe.upf
Rh 102.91 Rh.upf
CELL_PARAMETERS angstrom
-0.190 -3.824 3.428
3.273 -3.932 -0.484
-0.596 5.062 0.656
ATOMIC_POSITIONS crystal
As 0.499 0.499 0.000
Fe 0.275 0.775 0.500
Rh 0.721 0.221 0.500
Rh 0.005 0.005 0.000
! Formation energy ... -0.117 eV/atom
! ρ ... 10.00 g cm⁻³
! Volume ... 55.92 Å³ per cell
! Raw total energy ... -28.28 eV per cell
! SG ... Imm2 (44)
! Magnetic moment ... 3.18 μB/cell

=====

> The lowest ρ belongs to which entry?

KSi